1.
{
  "formula": "Nd5Y3Tm4",
  "functional": "GGA-PBE",
  "state": "relaxed",
  "formation_enthalpy_0k_ev_per_atom": 0.23,
  "e_tot_ev_per_atom": -4.8595,
  "crystal_system": "monoclinic",
  "lattice": [[4.8747, -2.9097, 0.0000], [4.8747, 2.9097, 0.0000], [-4.7832, 0.0000, 14.2082]],
  "species": ["Nd", "Nd", "Nd", "Nd", "Nd", "Y", "Y", "Y", "Tm", "Tm", "Tm", "Tm"],
  "frac_coords": [[0.0000, 0.0000, 0.0000], [0.3323, 0.3323, 0.5016], [0.4512, 0.4512, 0.7521], [0.5488, 0.5488, 0.2479], [0.6677, 0.6677, 0.4984], [0.2080, 0.2080, 0.2496], [0.5000, 0.5000, 0.0000], [0.7920, 0.7920, 0.7504], [0.0600, 0.0600, 0.6231], [0.1738, 0.1738, 0.8534], [0.8262, 0.8262, 0.1466], [0.9400, 0.9400, 0.3769]]
}

---

2.
{
  "formula": "U2AsN",
  "functional": "GGA-PBE",
  "state": "relaxed",
  "relative_energy_ev_per_atom": 0.000,
  "e_form_raw_mev_per_atom": -911.9,
  "e_tot_ev_per_atom": -9.7997,
  "crystal_system": "trigonal",
  "lattice": [[1.8510, 1.0687, 6.2989], [-1.8510, 1.0687, 6.2989], [0.0000, -2.1374, 6.2989]],
  "species": ["U", "U", "As", "N"],
  "frac_coords": [[0.2324, 0.2324, 0.2324], [0.7676, 0.7676, 0.7676], [0.0000, 0.0000, 0.0000], [0.5000, 0.5000, 0.5000]]
}

---

3.
{
  "formula": "Ac2LaF8",
  "functional": "GGA-PBE",
  "state": "relaxed",
  "e_form_raw_mev_per_atom": -3958.2,
  "e_tot_ev_per_atom": -6.5141,
  "crystal_system": "monoclinic",
  "lattice": [[7.8603, -2.0317, 0.0000], [7.8603, 2.0317, 0.0000], [-2.2399, 0.0000, 5.6152]],
  "species": ["Ac", "Ac", "La", "F", "F", "F", "F", "F", "F", "F", "F"],
  "frac_coords": [[0.1715, 0.1715, 0.1726], [0.8285, 0.8285, 0.8274], [0.5000, 0.5000, 0.5000], [0.0342, 0.0342, 0.2810], [0.2254, 0.2254, 0.8281], [0.3281, 0.3281, 0.5413], [0.4080, 0.4080, 0.0626], [0.5920, 0.5920, 0.9374], [0.6719, 0.6719, 0.4587], [0.7746, 0.7746, 0.1719], [0.9658, 0.9658, 0.7190]]
}